No. 1
The following is a DFT calculation (GGA-PBE) of a geometry-optimized Ba3PrZr2O9 structure.

Lattice parameters (Å, degrees): 6.1850 6.1850 7.6719 90.00 90.00 120.00
With the nearest neighbours (Å) after each atom.
Space group P-3m1 (No. 164)
One atom of each set of equivalent atoms:
Ba 0.0000 0.0000 0.0000 [1 per cell]  12 O 3.05-3.09
Ba 0.3333 0.6667 0.6820 [2 per cell]  12 O 3.02-3.29
Pr 0.0000 0.0000 0.5000 [1 per cell]  6 O 2.34
Zr 0.3333 0.6667 0.1620 [2 per cell]  6 O 2.07-2.18
O 0.0000 0.5000 0.0000 [3 per cell]  2 Zr 2.18
O 0.1739 0.3477 0.3149 [6 per cell]  1 Zr 2.07

Summary:
DOS at the Fermi energy in states/eV/f.u.: 14.0


No. 2
The following is a DFT calculation (GGA-PBE) of a geometry-optimized BaPrZrO4 structure.

Lattice parameters (Å, degrees): 4.1964 4.1964 13.0851 90.00 90.00 90.00
With the nearest neighbours (Å) after each atom.
Space group I4mm (No. 107)
One atom of each set of equivalent atoms:
Ba 0.0000 0.0000 0.0000 [2 per cell]  1 O 2.49
Pr 0.0000 0.0000 0.7020 [2 per cell]  1 O 2.33
Zr 0.0000 0.0000 0.3504 [2 per cell]  6 O 2.10-2.27
O 0.0000 0.0000 0.1899 [2 per cell]  1 Zr 2.10
O 0.0000 0.0000 0.5241 [2 per cell]  1 Zr 2.27, 1 Pr 2.33
O 0.0000 0.5000 0.3431 [4 per cell]  2 Zr 2.10

Summary:
DOS at the Fermi energy in states/eV/f.u.: 2.4


No. 3
The following is a DFT calculation (GGA-PBE) of a geometry-optimized Ba5PtO6 structure.

Lattice parameters (Å, degrees): 6.7263 11.8081 6.8015 90.00 100.80 90.00
With the nearest neighbours (Å) after each atom.
Space group C2/m (No. 12)
One atom of each set of equivalent atoms:
Ba 0.0000 0.0000 0.0000 [2 per cell]  4 O 2.75
Ba 0.0000 0.1849 0.5000 [4 per cell]  2 O 2.59
Ba 0.0000 0.3378 0.0000 [4 per cell]  4 O 2.50-2.71
Pt 0.0000 0.5000 0.5000 [2 per cell]  2 O 1.91
O 0.1915 0.1829 0.2032 [8 per cell]  4 Ba 2.50-2.75
O 0.2092 0.5000 0.3452 [4 per cell]  1 Pt 1.91

Summary:
DOS at the Fermi energy in states/eV/f.u.: 2.3


No. 4
The following is a DFT calculation (GGA-PBE) of a geometry-optimized Ba12Pt3O5 structure.

Lattice parameters (Å, degrees): 17.4093 17.4093 17.4093 90.00 90.00 90.00
With the nearest neighbours (Å) after each atom.
Space group Ia-3d (No. 230)
One atom of each set of equivalent atoms:
Ba 0.0288 0.0511 0.6515 [96 per cell]  2 O 2.56-2.83
Pt 0.0000 0.2500 0.1250 [24 per cell]  8 Ba 3.30-3.53
O 0.0000 0.0000 0.0000 [16 per cell]  6 Ba 2.83
O 0.0000 0.2500 0.3750 [24 per cell]  4 Ba 2.56

Summary:
DOS at the Fermi energy in states/eV/f.u.: 12.0


No. 5
The following is a DFT calculation (GGA-PBE) of a geometry-optimized Ba3Pt2O7 structure.

Lattice parameters (Å, degrees): 10.2606 17.8314 8.8710 90.00 90.56 90.00
With the nearest neighbours (Å) after each atom.
Space group Cc (No. 9)
One atom of each set of equivalent atoms:
Ba 0.0000 0.0034 0.0000 [4 per cell]  6 O 2.69-3.01
Ba 0.0017 0.3295 0.0051 [4 per cell]  5 O 2.63-2.91
Ba 0.1355 0.4884 0.7279 [4 per cell]  5 O 2.61-2.88
Ba 0.1537 0.1522 0.2338 [4 per cell]  9 O 2.68-2.95
Ba 0.1600 0.1682 0.7479 [4 per cell]  5 O 2.60-2.90
Ba 0.4913 0.1699 0.9890 [4 per cell]  6 O 2.73-2.94
Pt 0.2689 0.3341 0.2457 [4 per cell]  4 O 2.02-2.06
Pt 0.3312 0.3336 0.5840 [4 per cell]  6 O 2.00-2.18
Pt 0.3334 0.0130 0.8566 [4 per cell]  5 O 1.93-2.04
Pt 0.3361 0.3379 0.9065 [4 per cell]  6 O 2.01-2.18
O 0.0009 0.1679 0.9756 [4 per cell]  1 Pt 2.00
O 0.0037 0.4828 0.4711 [4 per cell]  1 Pt 2.01
O 0.0106 0.1543 0.5105 [4 per cell]  1 Pt 2.01
O 0.1545 0.0046 0.7565 [4 per cell]  1 Pt 2.04
O 0.1732 0.3307 0.7472 [4 per cell]  2 Pt 2.18
O 0.2603 0.0937 0.9805 [4 per cell]  1 Pt 1.96
O 0.2613 0.4047 0.4237 [4 per cell]  2 Pt 2.02-2.03
O 0.2608 0.4073 0.0668 [4 per cell]  2 Pt 2.04-2.06
O 0.2646 0.2601 0.4243 [4 per cell]  2 Pt 2.04-2.06
O 0.2734 0.2642 0.0660 [4 per cell]  2 Pt 2.02-2.04
O 0.3826 0.0878 0.3015 [4 per cell]  1 Pt 1.93
O 0.3925 0.4118 0.7417 [4 per cell]  2 Pt 2.06-2.07
O 0.3980 0.0982 0.7346 [4 per cell]  1 Pt 1.98
O 0.4059 0.2645 0.7484 [4 per cell]  2 Pt 2.05

Summary:
DOS at the Fermi energy in states/eV/f.u.: 6.8


No. 6
The following is a DFT calculation (GGA-PBE) of a geometry-optimized BaPtO structure.

Lattice parameters (Å, degrees): 13.8088 3.5986 5.3379 90.00 102.44 90.00
With the nearest neighbours (Å) after each atom.
Space group Cm (No. 8)
One atom of each set of equivalent atoms:
Ba 0.0000 0.0000 0.0000 [2 per cell]  4 O 2.66-2.69
Ba 0.2046 0.0000 0.6905 [2 per cell]  3 O 2.58-2.68
Pt 0.2816 0.5000 0.2514 [2 per cell]  1 O 2.08
Pt 0.4182 0.0000 0.4348 [2 per cell]  2 O 2.23
O 0.0158 0.0000 0.5117 [2 per cell]  2 Pt 2.23
O 0.1442 0.5000 0.9960 [2 per cell]  1 Pt 2.08

Summary:
DOS at the Fermi energy in states/eV/f.u.: 0.0


No. 7
The following is a DFT calculation (GGA-PBE) of a geometry-optimized Ba8Pt2O structure.

Lattice parameters (Å, degrees): 9.4475 9.4475 6.7183 90.00 90.00 120.00
With the nearest neighbours (Å) after each atom.
Space group P-3m1 (No. 164)
One atom of each set of equivalent atoms:
Ba 0.1469 0.2937 0.2301 [6 per cell]  1 O 2.86, 1 Pt 3.06
Ba 0.3333 0.6667 0.7199 [2 per cell]  2 Pt 3.28-3.44
Pt 0.3333 0.6667 0.2082 [2 per cell]  4 Ba 3.06-3.28
O 0.0000 0.0000 0.0000 [1 per cell]  6 Ba 2.86

Summary:
DOS at the Fermi energy in states/eV/f.u.: 13.4


No. 8
The following is a DFT calculation (GGA-PBE) of a geometry-optimized Ba3Pt2O9 structure.

Lattice parameters (Å, degrees): 10.1896 10.1896 14.1311 90.00 90.00 120.00
With the nearest neighbours (Å) after each atom.
Space group R-3c (No. 167, hexagonal axes)
One atom of each set of equivalent atoms:
Ba 0.0000 0.3383 0.2500 [18 per cell]  12 O 2.90-2.99
Pt 0.0000 0.0000 0.1511 [12 per cell]  6 O 1.93-2.07
O 0.0000 0.1504 0.7500 [18 per cell]  2 Pt 2.07
O 0.0019 0.1654 0.4168 [36 per cell]  1 Pt 1.93

Summary:
DOS at the Fermi energy in states/eV/f.u.: 10.7


No. 9
The following is a DFT calculation (GGA-PBE) of a geometry-optimized BaPtO structure.

Lattice parameters (Å, degrees): 5.5588 5.9286 7.8508 90.00 90.00 90.00
With the nearest neighbours (Å) after each atom.
Space group Cmcm (No. 63)
One atom of each set of equivalent atoms:
Ba 0.0000 0.0519 0.2500 [4 per cell]  3 O 2.62-2.80
Pt 0.0000 0.5000 0.0000 [4 per cell]  2 O 2.07
O 0.0000 0.3903 0.7500 [4 per cell]  2 Pt 2.07

Summary:
DOS at the Fermi energy in states/eV/f.u.: 0.0


No. 10
The following is a DFT calculation (GGA-PBE) of a geometry-optimized BaPtO structure.

Lattice parameters (Å, degrees): 3.8036 8.5008 8.3419 90.00 90.00 90.00
With the nearest neighbours (Å) after each atom.
Space group Cmcm (No. 63)
One atom of each set of equivalent atoms:
Ba 0.0000 0.0000 0.0000 [4 per cell]  4 O 2.83
Pt 0.0000 0.2879 0.2500 [4 per cell]  1 O 2.01
O 0.0000 0.4757 0.7500 [4 per cell]  1 Pt 2.01

Summary:
DOS at the Fermi energy in states/eV/f.u.: 0.2


No. 11
The following is a DFT calculation (GGA-PBE) of a geometry-optimized BaPtO structure.

Lattice parameters (Å, degrees): 4.1337 4.1337 8.2488 90.00 90.00 120.00
With the nearest neighbours (Å) after each atom.
Space group P6_3/mmc (No. 194)
One atom of each set of equivalent atoms:
Ba 0.0000 0.0000 0.0000 [2 per cell]  6 O 3.15, 6 Pt 3.15
Pt 0.3333 0.6667 0.2500 [2 per cell]  3 O 2.39
O 0.3333 0.6667 0.7500 [2 per cell]  3 Pt 2.39

Summary:
DOS at the Fermi energy in states/eV/f.u.: 0.7


No. 12
The following is a DFT calculation (GGA-PBE) of a geometry-optimized BaPtO7 structure.

Lattice parameters (Å, degrees): 7.1639 4.9250 8.1979 90.00 110.06 90.00
With the nearest neighbours (Å) after each atom.
Space group P2_1/m (No. 11)
One atom of each set of equivalent atoms:
Ba 0.2482 0.2500 0.4217 [2 per cell]  7 O 2.70-2.93
Pt 0.3728 0.7500 0.7980 [2 per cell]  6 O 1.98-2.21
O 0.1389 0.0154 0.7197 [4 per cell]  1 O 1.44
O 0.1426 0.2500 0.8252 [2 per cell]  2 O 1.44
O 0.3502 0.7500 0.0599 [2 per cell]  2 O 1.44
O 0.3595 0.7500 0.5531 [2 per cell]  1 Pt 1.98
O 0.3936 0.5094 0.1673 [4 per cell]  1 O 1.44


Computed energy relative to the elements, uncorrected, in the same sequence as the records: -2.97 -2.88 -1.96 -1.41 -1.62 -1.29 -0.56 -1.42 -1.37 -0.93 -0.79 -0.62 eV per atom.